Entry 1:
The following is a PBE-GGA calculation of crystalline NaCr2Ge at its relaxed geometry, from the Alexandria database.

Cell lengths 4.169, 4.169, 17.966 Å; angles 90.00, 90.00, 90.00 degrees
Space group I-42d (No. 122)
Unique sites:
Na 0.000 0.000 0.000 [4 per cell]
Cr 0.070 0.250 0.625 [8 per cell]
Ge 0.000 0.000 0.500 [4 per cell]

Values from the calculation:
For the total energy, the calculation gives -85.98 eV for the cell shown. The density of states at the Fermi level is 13.923 states/eV/cell.

Entry 2:
The following is a PBE-GGA calculation of crystalline NaCrGe at its relaxed geometry, from the Alexandria database.

Cell lengths 3.894, 2.937, 21.036 Å; angles 90.00, 90.00, 90.00 degrees
Space group Amm2 (No. 38)
Unique sites:
Na 0.000 0.000 0.000 [2 per cell]
Na 0.500 0.000 0.364 [2 per cell]
Cr 0.500 0.000 0.122 [2 per cell]
Cr 0.500 0.000 0.216 [2 per cell]
Ge 0.000 0.000 0.635 [2 per cell]
Ge 0.000 0.000 0.768 [2 per cell]

Values from the calculation:
For the total energy, the calculation gives -59.82 eV for the cell shown. The density of states at the Fermi level is 5.792 states/eV/cell. The energy above the most stable polymorph in this dataset comes out at 0.191 eV per atom.

Entry 3:
The following is a PBE-GGA calculation of crystalline NaCrGe at its relaxed geometry, from the Alexandria database.

Cell lengths 3.017, 4.338, 10.267 Å; angles 86.64, 86.01, 70.14 degrees
Space group P1 (No. 1)
Unique sites:
Na 0.000 0.000 0.000 [1 per cell]
Na 0.429 0.459 0.293 [1 per cell]
Cr 0.621 0.910 0.715 [1 per cell]
Cr 0.950 0.303 0.600 [1 per cell]
Ge 0.322 0.456 0.807 [1 per cell]
Ge 0.680 0.887 0.474 [1 per cell]

Values from the calculation:
For the total energy, the calculation gives -30.27 eV for the cell shown. The density of states at the Fermi level is 2.744 states/eV/cell. The energy above the most stable polymorph in this dataset comes out at 0.130 eV per atom.